[1]
# In2Ni3S4 (GGA-PBE, optimized geometry)
data_In2Ni3S4
_chemical_formula_sum 'In4 Ni6 S8'
_cell_length_a 5.8122
_cell_length_b 5.8122
_cell_length_c 13.1094
_cell_angle_alpha 90.00
_cell_angle_beta 90.00
_cell_angle_gamma 120.00
_space_group_name_H-M_alt 'P 63/m m c'
_space_group_IT_number 194
_space_group_name_Hall '-P 6c 2c'
loop_
_atom_site_label
_atom_site_fract_x
_atom_site_fract_y
_atom_site_fract_z
In1 0.3333 0.6667 0.1121
Ni1 0.1659 0.3319 0.7500
S1 0.0000 0.0000 0.1400
S2 0.3333 0.6667 0.6394
# - crystal system = hexagonal
# - energy above the most stable polymorph in this dataset (eV/atom) = 0.007


[2]
# PrHoPO (GGA-PBE, optimized geometry)
data_PrHoPO
_chemical_formula_sum 'Pr2 Ho2 P2 O2'
_cell_length_a 4.3121
_cell_length_b 4.3121
_cell_length_c 8.9032
_cell_angle_alpha 90.00
_cell_angle_beta 90.00
_cell_angle_gamma 90.00
_space_group_name_H-M_alt 'P 4/n m m'
_space_group_IT_number 129
loop_
_space_group_symop_operation_xyz
'x,y,z'
'-x,-y,-z'
'-y+1/2,x,z'
'y+1/2,-x,-z'
'-x+1/2,-y+1/2,z'
'x+1/2,y+1/2,-z'
'y,-x+1/2,z'
'-y,x+1/2,-z'
'x+1/2,-y,-z'
'-x+1/2,y,z'
'-y,-x,-z'
'y,x,z'
'-x,y+1/2,-z'
'x,-y+1/2,z'
'y+1/2,x+1/2,-z'
'-y+1/2,-x+1/2,z'
loop_
_atom_site_label
_atom_site_fract_x
_atom_site_fract_y
_atom_site_fract_z
Pr1 0.2500 0.7500 0.0000
Ho1 0.2500 0.2500 0.4061
P1 0.2500 0.2500 0.7852
O1 0.2500 0.7500 0.5000
# - crystal system = tetragonal
# - energy above the most stable polymorph in this dataset (eV/atom) = 0.236


[3]
# Y3Er3Te2Ir (GGA-PBE, optimized geometry)
data_Y3Er3Te2Ir
_chemical_formula_sum 'Y3 Er3 Te2 Ir1'
_cell_length_a 8.3086
_cell_length_b 8.3086
_cell_length_c 3.9935
_cell_angle_alpha 90.00
_cell_angle_beta 90.00
_cell_angle_gamma 120.00
_space_group_name_H-M_alt 'P -6 2 m'
_space_group_IT_number 189
_space_group_name_Hall 'P -6 -2'
loop_
_atom_site_label
_atom_site_fract_x
_atom_site_fract_y
_atom_site_fract_z
Y1 0.0000 0.3961 0.0000
Er1 0.0000 0.7606 0.5000
Te1 0.3333 0.6667 0.5000
Ir1 0.0000 0.0000 0.0000
# - crystal system = hexagonal
# - energy above the most stable polymorph in this dataset (eV/atom) = 0.000


[4]
# LiDyNO (GGA-PBE, optimized geometry)
data_LiDyNO
_chemical_formula_sum 'Li2 Dy2 N2 O2'
_cell_length_a 3.6809
_cell_length_b 3.6809
_cell_length_c 7.1490
_cell_angle_alpha 90.00
_cell_angle_beta 90.00
_cell_angle_gamma 90.00
_space_group_name_H-M_alt 'P 4/n m m'
_space_group_IT_number 129
loop_
_space_group_symop_operation_xyz
'x,y,z'
'-x,-y,-z'
'-y+1/2,x,z'
'y+1/2,-x,-z'
'-x+1/2,-y+1/2,z'
'x+1/2,y+1/2,-z'
'y,-x+1/2,z'
'-y,x+1/2,-z'
'x+1/2,-y,-z'
'-x+1/2,y,z'
'-y,-x,-z'
'y,x,z'
'-x,y+1/2,-z'
'x,-y+1/2,z'
'y+1/2,x+1/2,-z'
'-y+1/2,-x+1/2,z'
loop_
_atom_site_label
_atom_site_fract_x
_atom_site_fract_y
_atom_site_fract_z
Li1 0.2500 0.7500 0.0000
Dy1 0.2500 0.2500 0.3333
N1 0.2500 0.2500 0.8684
O1 0.2500 0.7500 0.5000
# - crystal system = tetragonal
# - energy above the most stable polymorph in this dataset (eV/atom) = 0.182


Quick rundown of uncorrected energy, same order as above: -4.604 -6.695 -6.233 -6.383 eV per atom